(1)
Compound: Tb3Ho5
Source: Alexandria via LeMat-Bulk
Functional: GGA-PBE
Structure: relaxed

CIF file:
```
data_Tb3Ho5
_chemical_formula_sum 'Tb3 Ho5'
_space_group_name_H-M_alt 'P 1'
_space_group_IT_number 1
_space_group_name_Hall 'P 1'
_cell_length_a 3.612
_cell_length_b 5.602
_cell_length_c 12.506
_cell_angle_alpha 90.00
_cell_angle_beta 90.00
_cell_angle_gamma 90.00
loop_
_atom_site_label
_atom_site_fract_x
_atom_site_fract_y
_atom_site_fract_z
_atom_site_occupancy
Tb1 0.000 0.000 0.000 1
Tb2 0.000 0.500 0.169 1
Tb3 0.500 0.000 0.252 1
Ho1 0.000 0.000 0.502 1
Ho2 0.000 0.500 0.668 1
Ho3 0.500 0.000 0.750 1
Ho4 0.500 0.500 0.420 1
Ho5 0.500 0.500 0.917 1
```

Calculated values
formation energy = 0.01 eV/atom
electronic total energy = -4.591 eV/atom

=====

(2)
Compound: Tb2Ho
Source: Alexandria via LeMat-Bulk
Functional: GGA-PBE
Structure: relaxed

CIF file:
```
data_Tb2Ho
_chemical_formula_sum 'Tb4 Ho2'
_space_group_name_H-M_alt 'P 1'
_space_group_IT_number 1
_space_group_name_Hall 'P 1'
_cell_length_a 6.539
_cell_length_b 6.539
_cell_length_c 6.539
_cell_angle_alpha 60.00
_cell_angle_beta 60.00
_cell_angle_gamma 60.00
loop_
_atom_site_label
_atom_site_fract_x
_atom_site_fract_y
_atom_site_fract_z
_atom_site_occupancy
Tb1 0.000 0.000 0.000 1
Tb2 0.000 0.000 0.500 1
Tb3 0.000 0.500 0.000 1
Tb4 0.500 0.000 0.000 1
Ho1 0.375 0.375 0.375 1
Ho2 0.625 0.625 0.625 1
```

Calculated values
formation energy = 0.26 eV/atom
electronic total energy = -4.350 eV/atom

=====

(3)
Compound: Tb3Ho
Source: Alexandria via LeMat-Bulk
Functional: GGA-PBE
Structure: relaxed

CIF file:
```
data_Tb3Ho
_chemical_formula_sum 'Tb3 Ho1'
_space_group_name_H-M_alt 'P 1'
_space_group_IT_number 1
_space_group_name_Hall 'P 1'
_cell_length_a 5.013
_cell_length_b 5.013
_cell_length_c 5.013
_cell_angle_alpha 90.00
_cell_angle_beta 90.00
_cell_angle_gamma 90.00
loop_
_atom_site_label
_atom_site_fract_x
_atom_site_fract_y
_atom_site_fract_z
_atom_site_occupancy
Tb1 0.000 0.000 0.500 1
Tb2 0.000 0.500 0.000 1
Tb3 0.500 0.000 0.000 1
Ho1 0.500 0.500 0.500 1
```

Calculated values
formation energy = 0.02 eV/atom
electronic total energy = -4.598 eV/atom